[1]
DFT (PBE-GGA) results for a relaxed structure of ErFe2SiGe.

Calculated values
DOS(E_F), states/eV/atom: 1.012
ρ, Mg/m³: 8.266
ΔE_f (raw), eV per atom: -0.568
Space-group type: No. 63
Total moment, Bohr magnetons per cell: 0.7

a = 5.592 Å, b = 5.592 Å, c = 5.615 Å
α = 90.00°, β = 90.00°, γ = 119.67°
Fractional coordinates of all 10 atoms:
Er  0.248  0.752  0.750
Er  0.752  0.248  0.250
Fe  0.249  0.249  0.000
Fe  0.249  0.249  0.500
Fe  0.751  0.751  0.000
Fe  0.751  0.751  0.500
Si  0.110  0.890  0.250
Si  0.890  0.110  0.750
Ge  0.373  0.627  0.250
Ge  0.627  0.373  0.750

=====

[2]
DFT (PBE-GGA) results for a relaxed structure of In2HgP.

Calculated values
DOS(E_F), states/eV/atom: 0.316
ΔE_f, eV/atom: 0.1436
ρ, Mg/m³: 7.884
Space-group type: No. 65
Total moment, Bohr magnetons per cell: 0.0

a = 3.504 Å, b = 3.504 Å, c = 8.094 Å
α = 90.00°, β = 90.00°, γ = 102.24°
Fractional coordinates of all 4 atoms:
In  0.000  0.000  0.214
In  0.000  0.000  0.786
Hg  0.500  0.500  0.500
P  0.500  0.500  0.000

=====

[3]
DFT (PBE-GGA) results for a relaxed structure of TlRu2.

Calculated values
DOS(E_F), states/eV/atom: 0.905
ΔE_f, eV/atom: 0.5846
ρ, Mg/m³: 12.978
Space-group type: No. 8
Total moment, Bohr magnetons per cell: 0.0

a = 5.359 Å, b = 5.359 Å, c = 6.934 Å
α = 96.30°, β = 96.30°, γ = 31.73°
Fractional coordinates of all 6 atoms:
Tl  0.000  0.000  0.000
Tl  0.736  0.736  0.326
Ru  0.008  0.008  0.433
Ru  0.267  0.267  0.988
Ru  0.375  0.375  0.658
Ru  0.657  0.657  0.697

=====

Q: Among the records above, which one has the lowest DOS(E_F)?
A: In2HgP

=====

Q: Which value of total moment does entry 3 give?
A: 0.0 Bohr magnetons per cell